Entry 1:
Density functional theory data (PBE-GGA) for CaTc2W after structural relaxation.

Computed properties:
- ΔH_f (0 K) (kJ/mol of atoms) = 50
- crystal system = trigonal
- SG = R-3m
- energy relative to the lowest polymorph listed for this composition (kJ/mol of atoms) = 21.4
- energy (eV/atom) = -8.400

a b c (Å): 9.0691 9.0691 9.0691
angles (deg): 19.53 19.53 19.53
Closest atoms and distances in Å follow each position.
Positions (direct):
Tc (0.4878, 0.4878, 0.4878)  3 W 2.60
Tc (0.0122, 0.0122, 0.0122)  3 W 2.60
Ca (0.2500, 0.2500, 0.2500)  6 Ca 3.08, 6 Tc 3.11
W (0.7500, 0.7500, 0.7500)  6 Tc 2.60

Entry 2:
Density functional theory data (PBE-GGA) for RbHf3Te6 after structural relaxation.

Computed properties:
- formation energy from raw total energies (meV/atom) = -816.4
- crystal system = monoclinic
- SG = P2_1/m
- energy (eV/atom) = -5.784

a b c (Å): 4.0224 12.9521 12.9040
angles (deg): 106.63 90.00 90.00
Closest atoms and distances in Å follow each position.
Positions (direct):
Rb (0.7500, 0.6199, 0.8940)  6 Te 3.51-3.71
Rb (0.2500, 0.3801, 0.1060)  6 Te 3.51-3.71
Te (0.2500, 0.8616, 0.9544)  3 Hf 2.90-2.91
Te (0.7500, 0.1384, 0.0456)  3 Hf 2.90-2.91
Te (0.7500, 0.7517, 0.6790)  3 Hf 2.87-2.95
Te (0.2500, 0.6594, 0.1437)  2 Hf 2.85
Te (0.7500, 0.9440, 0.2480)  3 Hf 2.84-3.02
Te (0.7500, 0.1618, 0.5403)  3 Hf 2.87-2.89
Te (0.7500, 0.5328, 0.3672)  4 Hf 2.93-3.00
Te (0.2500, 0.2483, 0.3210)  3 Hf 2.87-2.95
Te (0.2500, 0.4672, 0.6328)  4 Hf 2.93-3.00
Te (0.2500, 0.8382, 0.4597)  3 Hf 2.87-2.89
Te (0.7500, 0.3406, 0.8563)  2 Hf 2.85
Te (0.2500, 0.0560, 0.7520)  3 Hf 2.84-3.02
Hf (0.2500, 0.2669, 0.6957)  6 Te 2.85-3.02
Hf (0.7500, 0.9598, 0.8496)  6 Te 2.84-2.95
Hf (0.2500, 0.6455, 0.5268)  6 Te 2.87-3.00
Hf (0.7500, 0.3545, 0.4732)  6 Te 2.87-3.00
Hf (0.2500, 0.0402, 0.1504)  6 Te 2.84-2.95
Hf (0.7500, 0.7331, 0.3043)  6 Te 2.85-3.02

Entry 3:
Density functional theory data (PBE-GGA) for MgSi2Ru after structural relaxation.

Computed properties:
- formation energy from raw total energies (meV/atom) = -120.0
- crystal system = monoclinic
- SG = Pm
- energy (eV/atom) = -5.549

a b c (Å): 4.1007 2.9752 4.9880
angles (deg): 73.01 90.00 90.00
Closest atoms and distances in Å follow each position.
Positions (direct):
Si (0.5000, 0.0638, 0.2504)  2 Si 2.44, 3 Ru 2.52-2.73, 4 Mg 2.71
Si (0.0000, 0.1981, 0.9720)  2 Si 2.44, 1 Mg 2.47, 4 Ru 2.63-2.64
Ru (0.5000, 0.7746, 0.8229)  7 Si 2.52-2.73
Mg (0.0000, 0.4635, 0.4547)  7 Si 2.47-2.74

Entry 4:
Density functional theory data (PBE-GGA) for K2CaSc after structural relaxation.

Computed properties:
- ΔH_f (0 K) (kJ/mol of atoms) = 63
- crystal system = cubic
- SG = Fm-3m
- energy relative to the lowest polymorph listed for this composition (kJ/mol of atoms) = 30.1
- energy (eV/atom) = -1.983

a b c (Å): 6.4029 6.4029 6.4029
angles (deg): 60.00 60.00 60.00
Closest atoms and distances in Å follow each position.
Positions (direct):
Sc (0.5000, 0.5000, 0.5000)  8 K 3.92
K (0.7500, 0.7500, 0.7500)  4 Sc 3.92, 4 Ca 3.92
K (0.2500, 0.2500, 0.2500)  4 Sc 3.92, 4 Ca 3.92
Ca (0.0000, 0.0000, 0.0000)  8 K 3.92

Entry 5:
Density functional theory data (PBE-GGA) for TbSc3 after structural relaxation.

Computed properties:
- ΔH_f (0 K) (kJ/mol of atoms) = 3
- crystal system = orthorhombic
- SG = Pmm2
- energy relative to the lowest polymorph listed for this composition (kJ/mol of atoms) = 0.4
- energy (eV/atom) = -5.877

a b c (Å): 3.4003 5.2788 5.8761
angles (deg): 90.00 90.00 90.00
Closest atoms and distances in Å follow each position.
Positions (direct):
Sc (0.5000, 0.5000, 0.8312)  8 Sc 3.26-3.40, 4 Tb 3.38-3.41
Sc (0.0000, 0.0000, 0.9953)  10 Sc 3.28-3.45, 2 Tb 3.31
Sc (0.5000, 0.0000, 0.5054)  8 Sc 3.26-3.45, 4 Tb 3.30
Tb (0.0000, 0.5000, 0.3348)  10 Sc 3.30-3.41, 2 Tb 3.40

Entry 6:
Density functional theory data (PBE-GGA) for Er3Bi after structural relaxation.

Computed properties:
- ΔH_f (0 K) (kJ/mol of atoms) = -29
- crystal system = cubic
- SG = Pm-3m
- energy (eV/atom) = -4.692

a b c (Å): 4.8252 4.8252 4.8252
angles (deg): 90.00 90.00 90.00
Closest atoms and distances in Å follow each position.
Positions (direct):
Bi (0.0000, 0.0000, 0.0000)  12 Er 3.41
Er (0.5000, 0.5000, 0.0000)  4 Bi 3.41, 8 Er 3.41
Er (0.0000, 0.5000, 0.5000)  4 Bi 3.41, 8 Er 3.41
Er (0.5000, 0.0000, 0.5000)  4 Bi 3.41, 8 Er 3.41

Entry 7:
Density functional theory data (PBE-GGA) for NaHfAsBr2 after structural relaxation.

Computed properties:
- formation energy from raw total energies (meV/atom) = -739.3
- crystal system = tetragonal
- SG = P4/mmm
- energy relative to the lowest polymorph listed for this composition (kJ/mol of atoms) = 0.0
- energy (eV/atom) = -4.593

a b c (Å): 5.3920 5.3920 5.1834
angles (deg): 90.00 90.00 90.00
Closest atoms and distances in Å follow each position.
Positions (direct):
As (0.0000, 0.0000, 0.5000)  2 Hf 2.59
Br (0.0000, 0.5000, 0.0000)  2 Hf 2.70
Br (0.5000, 0.0000, 0.0000)  2 Hf 2.70
Hf (0.0000, 0.0000, 0.0000)  2 As 2.59, 4 Br 2.70
Na (0.5000, 0.5000, 0.5000)  8 Br 3.74, 4 As 3.81

Entry 8:
Density functional theory data (PBE-GGA) for TbPm3Sm2As6 after structural relaxation.

Computed properties:
- ΔH_f (0 K) (kJ/mol of atoms) = -147
- crystal system = monoclinic
- SG = C2/m
- energy (eV/atom) = -6.213

a b c (Å): 4.2162 8.4259 9.4211
angles (deg): 102.92 102.93 90.00
Closest atoms and distances in Å follow each position.
Positions (direct):
As (0.6651, 0.0833, 0.3302)  1 Tb 2.95, 2 Sm 2.97, 3 Pm 2.98-3.00
As (0.3349, 0.9167, 0.6698)  1 Tb 2.95, 2 Sm 2.97, 3 Pm 2.98-3.00
As (0.0001, 0.2458, 0.0001)  2 Tb 2.96, 1 Sm 2.97, 3 Pm 2.98-3.01
As (0.3330, 0.4176, 0.6660)  3 Sm 2.98, 3 Pm 2.99
As (0.6670, 0.5824, 0.3340)  3 Sm 2.98, 3 Pm 2.99
As (0.9999, 0.7542, 0.9999)  2 Tb 2.96, 1 Sm 2.97, 3 Pm 2.98-3.01
Pm (0.8331, 0.1665, 0.6662)  6 As 2.98-3.00
Pm (0.5000, 0.5000, 0.0000)  6 As 2.99-3.01
Pm (0.1669, 0.8335, 0.3338)  6 As 2.98-3.00
Sm (0.8338, 0.6673, 0.6676)  6 As 2.97-2.98
Sm (0.1662, 0.3327, 0.3324)  6 As 2.97-2.98
Tb (0.5000, 0.0000, 0.0000)  6 As 2.95-2.96